{
  "formula": "AlTc2Br",
  "functional": "GGA-PBE",
  "state": "optimized geometry",
  "de_polymorph_ev_per_atom": 1.234,
  "e_form_raw_kj_per_mol_atoms": 119.7,
  "lattice": [[5.882, 0.000, 0.000], [0.000, 5.882, 0.000], [0.000, 0.000, 9.947]],
  "species": ["Al", "Al", "Al", "Al", "Tc", "Tc", "Tc", "Tc", "Tc", "Tc", "Tc", "Tc", "Br", "Br", "Br", "Br"],
  "fractional_positions": [[0.000, 0.000, 0.000], [0.000, 0.500, 0.250], [0.500, 0.000, 0.750], [0.500, 0.500, 0.500], [0.238, 0.250, 0.625], [0.250, 0.738, 0.875], [0.250, 0.762, 0.375], [0.262, 0.250, 0.125], [0.738, 0.750, 0.125], [0.750, 0.238, 0.375], [0.750, 0.262, 0.875], [0.762, 0.750, 0.625], [0.000, 0.000, 0.500], [0.000, 0.500, 0.750], [0.500, 0.000, 0.250], [0.500, 0.500, 0.000]]
}

***

{
  "formula": "AlTc2Br",
  "functional": "GGA-PBE",
  "state": "optimized geometry",
  "de_polymorph_ev_per_atom": 0.691,
  "e_form_raw_kj_per_mol_atoms": 67.3,
  "lattice": [[4.063, 0.000, 0.000], [0.000, 4.063, 0.000], [0.000, 0.000, 7.729]],
  "species": ["Al", "Al", "Tc", "Tc", "Tc", "Tc", "Br", "Br"],
  "fractional_positions": [[0.000, 0.000, 0.000], [0.500, 0.500, 0.500], [0.000, 0.000, 0.500], [0.000, 0.500, 0.250], [0.500, 0.000, 0.750], [0.500, 0.500, 0.000], [0.000, 0.500, 0.750], [0.500, 0.000, 0.250]]
}